Below is a geometry-optimized KInPd structure, with properties calculated at the PBE level.

abc: 7.023 7.023 7.023
angles: 90.00 90.00 90.00
Sites, in units of the cell vectors:
K 0.000 0.000 0.000
K 0.000 0.500 0.500
K 0.500 0.000 0.500
K 0.500 0.500 0.000
In 0.000 0.000 0.500
In 0.000 0.500 0.000
In 0.500 0.000 0.000
In 0.500 0.500 0.500
Pd 0.250 0.250 0.750
Pd 0.250 0.750 0.250
Pd 0.750 0.250 0.250
Pd 0.750 0.750 0.750

---

Below is a geometry-optimized Ta4Cu3Mo2C3 structure, with properties calculated at the PBE level.

abc: 5.372 5.372 13.379
angles: 101.32 101.32 60.13
Sites, in units of the cell vectors:
Ta 0.031 0.197 0.096
Ta 0.135 0.302 0.404
Ta 0.197 0.031 0.596
Ta 0.302 0.135 0.904
Ta 0.698 0.865 0.096
Ta 0.803 0.969 0.404
Ta 0.865 0.698 0.596
Ta 0.969 0.803 0.904
Cu 0.132 0.868 0.250
Cu 0.294 0.418 0.750
Cu 0.418 0.294 0.250
Cu 0.582 0.706 0.750
Cu 0.706 0.582 0.250
Cu 0.868 0.132 0.750
Mo 0.360 0.526 0.081
Mo 0.474 0.640 0.419
Mo 0.526 0.360 0.581
Mo 0.640 0.474 0.919
C 0.000 0.500 0.000
C 0.155 0.673 0.500
C 0.327 0.845 0.000
C 0.500 0.000 0.500
C 0.673 0.155 0.000
C 0.845 0.327 0.500

---

Below is a geometry-optimized BaSrZnS3 structure, with properties calculated at the PBE level.

Computed properties:
Energy above the lowest structure with this stoichiometry ... 0 kJ/mol of formula units

abc: 8.665 4.129 17.106
angles: 90.00 90.00 90.00
Sites, in units of the cell vectors:
Ba 0.241 0.250 0.042
Ba 0.259 0.750 0.542
Ba 0.741 0.250 0.458
Ba 0.759 0.750 0.958
Sr 0.079 0.250 0.781
Sr 0.421 0.750 0.281
Sr 0.579 0.250 0.719
Sr 0.921 0.750 0.219
Zn 0.134 0.250 0.363
Zn 0.366 0.750 0.863
Zn 0.634 0.250 0.137
Zn 0.866 0.750 0.637
S 0.000 0.250 0.603
S 0.000 0.750 0.397
S 0.122 0.750 0.921
S 0.181 0.250 0.228
S 0.319 0.750 0.728
S 0.378 0.250 0.421
S 0.500 0.250 0.897
S 0.500 0.750 0.103
S 0.622 0.750 0.579
S 0.681 0.250 0.272
S 0.819 0.750 0.772
S 0.878 0.250 0.079

---

no.,energy (eV per atom)
1,-3.003
2,-9.140
3,-4.543